Material: Li2Si2Ni3O8
Method: DFT, PBE+U
State: optimized geometry

Output
- Uncorrected energy: -6.0692 eV per atom
- Crystal system: triclinic
- Space group: No. 1

Unit cell a=5.0066 b=8.6852 c=13.1401 alpha=109.03 beta=99.83 gamma=89.61
With the nearest neighbours (Å) after each atom.
Atoms (fractional coordinates):
1 O 0.1052 0.0947 0.9029  1 Si 1.65
2 O 0.6756 0.5788 0.8280  1 Si 1.64
3 O 0.1172 0.4937 0.4969  1 Si 1.66
4 O 0.8818 0.2754 0.2646  1 Si 1.64
5 O 0.1209 0.4604 0.9176  1 Si 1.67
6 O 0.2954 0.1345 0.3545  1 Si 1.63
7 Li 0.6253 0.0139 0.3560  4 O 1.95-2.17
8 Ni 0.2184 0.2732 0.4974  4 O 1.97-2.01
9 Si 0.0525 0.1097 0.2495  4 O 1.63-1.68
10 Li 0.3240 0.4179 0.7718  4 O 2.11-2.32
11 Li 0.2060 0.9355 0.4766  4 O 2.01-2.13
12 Si 0.9219 0.6179 0.9340  4 O 1.63-1.67
13 O 0.7653 0.6469 0.0399  1 Si 1.66
14 Ni 0.7763 0.5486 0.6823  4 O 1.96-2.00
15 O 0.4679 0.8040 0.3868  1 Si 1.64
16 Li 0.2972 0.0581 0.6942  3 O 1.96-2.06
17 Si 0.7636 0.1788 0.5958  4 O 1.64-1.66
18 Ni 0.0553 0.4920 0.3448  4 O 1.95-1.99
19 O 0.5265 0.1888 0.8390  1 Si 1.64
20 O 0.0882 0.8219 0.5785  1 Si 1.65
21 O 0.5053 0.2938 0.0533  1 Si 1.66
22 Si 0.5195 0.6483 0.2825  4 O 1.64-1.66
23 Si 0.2275 0.6611 0.6019  4 O 1.65-1.66
24 O 0.0134 0.2325 0.7023  1 Si 1.65
25 Ni 0.6928 0.8177 0.5338  4 O 1.96-2.03
26 O 0.8215 0.9600 0.2230  1 Si 1.65
27 O 0.2170 0.0744 0.1435  1 Si 1.68
28 O 0.9134 0.1160 0.4875  1 Si 1.65
29 O 0.8462 0.6386 0.2767  1 Si 1.65
30 O 0.1304 0.7755 0.9608  1 Si 1.63
31 Ni 0.9896 0.7474 0.1863  4 O 1.96-1.98
32 Ni 0.9000 0.2492 0.8427  4 O 1.93-2.01
33 O 0.4074 0.4778 0.2922  1 Si 1.64
34 Ni 0.4508 0.5067 0.0334  4 O 1.96-2.01
35 O 0.5721 0.3374 0.6007  1 Si 1.66
36 Si 0.4355 0.1371 0.9381  4 O 1.64-1.66
37 O 0.5482 0.0350 0.5919  1 Si 1.64
38 O 0.5759 0.9740 0.9568  1 Si 1.65
39 Ni 0.9694 0.9903 0.9970  4 O 1.94-2.01
40 O 0.3579 0.6735 0.1678  1 Si 1.66
41 O 0.5584 0.6931 0.6174  1 Si 1.65
42 Li 0.4748 0.8786 0.0871  4 O 2.14-2.26
43 Ni 0.5003 0.2634 0.1964  4 O 1.95-2.03
44 O 0.1581 0.6290 0.7117  1 Si 1.65
45 Li 0.3839 0.7578 0.8548  4 O 2.00-2.11